Computed, not measured: an optimized crystal structure of Sr2LiTl at the PBEsol level of DFT. Values from VASP.

The structure in Quantum ESPRESSO input format:
```
&SYSTEM
  ibrav = 0, nat = 4, ntyp = 3
/
ATOMIC_SPECIES
Tl 204.38 Tl.upf
Sr 87.62 Sr.upf
Li 6.94 Li.upf
ATOMIC_POSITIONS angstrom
Tl -6.5336 1.0763 -2.2673
Sr -9.8004 1.6145 -3.4009
Sr -3.2668 0.5382 -1.1336
Li 0.0000 0.0000 0.0000
CELL_PARAMETERS angstrom
-4.2091 3.8389 -0.4523
-3.4123 -0.0279 -4.5840
-5.4458 -1.6583 0.5018
```

Properties
E above lowest polymorph in meV/atom: 0
E_form in meV/atom: -270
Size of the total moment in μB per formula unit: 0.00
Symmetry: Fm-3m

Computed, not measured: an optimized crystal structure of DyCoSn at the PBEsol level of DFT. Values from VASP.

The structure in Quantum ESPRESSO input format:
```
&SYSTEM
  ibrav = 0, nat = 12, ntyp = 3
/
ATOMIC_SPECIES
Co 58.93 Co.upf
Sn 118.71 Sn.upf
Dy 162.50 Dy.upf
ATOMIC_POSITIONS angstrom
Co 1.1297 3.9404 1.0805
Co 3.3890 3.1323 6.1614
Sn 3.3890 2.7438 1.4530
Sn 3.3890 0.7925 5.0739
Dy 1.1297 1.3819 7.0488
Dy 3.3890 4.9182 3.8140
Co 3.3890 0.4041 2.5404
Dy 3.3890 5.6909 0.1930
Sn 1.1297 4.3289 5.7889
Co 1.1297 6.6687 4.7014
Dy 1.1297 2.1545 3.4279
Sn 1.1297 6.2802 2.1679
CELL_PARAMETERS angstrom
4.5187 0.0000 0.0000
0.0000 7.0727 0.0000
0.0000 0.0000 7.2419
```

Properties
E_form in meV/atom: -537
Size of the total moment in μB per formula unit: 0.00
Symmetry: Pnma

Computed, not measured: an optimized crystal structure of Y5Au4 at the PBEsol level of DFT. Values from VASP.

The structure in Quantum ESPRESSO input format:
```
&SYSTEM
  ibrav = 0, nat = 18, ntyp = 2
/
ATOMIC_SPECIES
Au 196.97 Au.upf
Y 88.91 Y.upf
ATOMIC_POSITIONS angstrom
Au -3.5328 -4.7193 -0.7784
Au -4.6285 -2.3562 1.9075
Au 4.4313 -3.2067 0.8329
Y -2.2722 -2.1112 3.9601
Au 2.3280 -5.2695 -1.4736
Y 2.2436 -5.2937 1.6597
Y -0.5681 -5.3695 -0.5397
Au 0.0000 0.0000 0.0000
Y -5.9298 -5.2633 0.7267
Y 2.7014 -2.5781 3.3702
Y 0.0817 -4.7511 4.4490
Au -0.0603 -3.1998 2.0241
Y -2.2315 -1.8123 0.4023
Au -0.4261 -6.9208 1.8852
Y -2.7300 -4.8268 2.2496
Y 4.8670 -6.2768 -0.5538
Y 1.8923 -2.1994 -0.0868
Au -0.4578 -2.7156 -1.7105
CELL_PARAMETERS angstrom
-0.9156 -5.4312 -3.4209
7.6749 -3.0450 2.7803
-7.2457 -1.6443 4.5500
```

Properties
E_form in meV/atom: -728
Size of the total moment in μB per formula unit: 0.00
Symmetry: P6_3/mcm

Computed, not measured: an optimized crystal structure of LaSi at the PBEsol level of DFT. Values from VASP.

The structure in Quantum ESPRESSO input format:
```
&SYSTEM
  ibrav = 0, nat = 8, ntyp = 2
/
ATOMIC_SPECIES
Si 28.09 Si.upf
La 138.91 La.upf
ATOMIC_POSITIONS angstrom
Si 0.9897 5.2828 4.4540
Si 2.9691 2.2906 8.0759
Si 0.9897 3.6939 0.2774
Si 2.9691 0.7016 3.8992
La 2.9691 5.3083 6.8534
La 0.9897 0.6761 1.4998
La 0.9897 2.3161 5.6764
La 2.9691 3.6683 2.6768
CELL_PARAMETERS angstrom
3.9588 0.0000 0.0000
0.0000 5.9844 0.0000
0.0000 0.0000 8.3532
```

Properties
Formation energy (no corrections) in meV/atom: -776
Size of the total moment in μB per formula unit: 0.00
Symmetry: Pnma

Computed, not measured: an optimized crystal structure of InPWAu2 at the PBEsol level of DFT. Values from VASP.

The structure in Quantum ESPRESSO input format:
```
&SYSTEM
  ibrav = 0, nat = 5, ntyp = 4
/
ATOMIC_SPECIES
Au 196.97 Au.upf
W 183.84 W.upf
In 114.82 In.upf
P 30.97 P.upf
ATOMIC_POSITIONS angstrom
Au 1.1586 -2.1033 -0.6339
W 1.7991 -2.7542 2.6964
In 0.0000 0.0000 0.0000
P -1.1832 -1.1722 1.7270
Au 1.8237 0.5214 1.6033
CELL_PARAMETERS angstrom
-2.3664 -2.3445 3.4540
2.3172 -4.2067 -1.2678
3.6474 1.0427 3.2066
```

Properties
E_form in meV/atom: 1847
Size of the total moment in μB per formula unit: 3.64
Symmetry: P4/mmm

Computed, not measured: an optimized crystal structure of SrFe2Ag at the PBEsol level of DFT. Values from VASP.

The structure in Quantum ESPRESSO input format:
```
&SYSTEM
  ibrav = 0, nat = 4, ntyp = 3
/
ATOMIC_SPECIES
Ag 107.87 Ag.upf
Fe 55.84 Fe.upf
Sr 87.62 Sr.upf
ATOMIC_POSITIONS angstrom
Ag -1.5919 -1.6955 -4.9538
Fe 0.0000 0.0000 0.0000
Sr -1.8568 0.0868 -2.7209
Fe 0.2649 -1.7823 -2.2330
CELL_PARAMETERS angstrom
-1.5004 3.3597 -2.8596
2.3865 -3.6515 -1.7451
-2.2132 -3.1861 -2.5821
```

Properties
E_form in meV/atom: 762
Size of the total moment in μB per formula unit: 5.18
Symmetry: I-4m2

| no. | energy (eV/atom) |
| --- | --- |
| 1 | -2.339 |
| 2 | -6.195 |
| 3 | -6.262 |
| 4 | -6.323 |
| 5 | -4.239 |
| 6 | -5.008 |